A relaxed structure of CrOsAu2. Source: Alexandria, functional PBE-GGA.

Cell lengths 4.5060, 4.5060, 4.5060 Å; angles 60.00, 60.00, 60.00 degrees
Last column: magnetic moment on the atom in μB.
Atoms (fractional coordinates):
1 Au 0.0000 0.0000 0.0000  -0.03
2 Au 0.2500 0.2500 0.2500  0.04
3 Cr 0.5000 0.5000 0.5000  2.86
4 Os 0.7500 0.7500 0.7500  -1.00

- spin magnetization (μB/f.u.) = 2.03
- E (eV/atom) = -6.279
- crystal system = cubic
- relative energy among the computed polymorphs (kJ/mol of formula units) = 140